--- w ---
A plane-wave DFT calculation with PBE was carried out for a relaxed TaMn2Co crystal.

Cell and atoms, written as POSCAR:
```
TaMn2Co
1.0
-1.070 -1.020 4.756
-1.785 -3.502 3.059
2.868 -2.142 1.924
Co Mn Ta
1 2 1
Cartesian
0.036 -4.987 7.277
2.810 -2.166 1.983
-0.010 -1.672 2.450
0.051 -3.313 4.823
```

## Properties
Crystal system: orthorhombic
M_tot, Bohr magnetons per cell: 5.9
Symmetry: Imm2, No. 44

***

--- x ---
A plane-wave DFT calculation with PBE was carried out for a relaxed TaMn2Co crystal.

Cell and atoms, written as POSCAR:
```
TaMn2Co
1.0
-2.443 1.797 -0.392
-2.136 -2.301 2.769
1.302 2.429 3.023
Mn Ta Co
2 1 1
Cartesian
0.000 0.000 0.000
-2.290 -0.252 1.189
-0.571 2.113 1.315
-0.417 0.064 2.896
```

## Properties
Crystal system: orthorhombic
M_tot, Bohr magnetons per cell: 4.0
Symmetry: Pmmm, No. 47

***

--- y ---
A plane-wave DFT calculation with PBE was carried out for a relaxed TaMn2Co crystal.

Cell and atoms, written as POSCAR:
```
TaMn2Co
1.0
-3.923 2.083 4.982
-4.497 -4.669 -1.589
-3.063 -2.940 3.288
Ta Mn Co
2 4 2
Cartesian
-5.598 -1.075 4.983
0.000 0.000 0.000
-4.184 -3.331 0.600
-3.663 -0.079 3.589
-9.532 -4.329 5.482
-5.589 -3.314 3.691
-5.885 -4.451 1.698
-4.210 -1.293 1.696
```

## Properties
Crystal system: tetragonal
M_tot, Bohr magnetons per cell: 11.6
Symmetry: I-42d, No. 122

***

Tell me which of them is the least stable. Sure, it is y.